(1)
! KBe2Al (PBE, optimized geometry); values from VASP
! Calculated density = 1.505 g/cm3
! Total magnetic moment = 0.000 μB/atom
! Space-group type = P2_1/m, No. 11
! V = 23.20 A^3/atom
! Electronic total energy = -2.882 eV/atom
! ΔH_f (0 K) = 0.191 eV/atom
&SYSTEM
  ibrav = 0, nat = 8, ntyp = 3
/
ATOMIC_SPECIES
K 39.10 K.upf
Be 9.01 Be.upf
Al 26.98 Al.upf
ATOMIC_POSITIONS angstrom
K 0.7628 0.9138 3.9488
K 2.8099 2.7415 8.3119
Be -0.0248 2.7415 12.2461
Be 1.5756 0.9138 0.5722
Be 1.9971 2.7415 11.6885
Be 3.5975 0.9138 0.0147
Al 0.7088 0.9138 10.4952
Al 2.8638 2.7415 1.7655
CELL_PARAMETERS angstrom
4.1417 0.0000 0.0000
0.0000 3.6554 0.0000
-0.5690 0.0000 12.2607

=====

(2)
! NpSnAu (PBE, optimized geometry); values from VASP
! Calculated density = 12.679 g/cm3
! Total magnetic moment = 1.489 μB/atom
! Space-group type = I4mm, No. 107
! V = 24.13 A^3/atom
! Electronic total energy = -6.452 eV/atom
! ΔH_f (0 K) = 0.288 eV/atom
&SYSTEM
  ibrav = 0, nat = 3, ntyp = 3
/
ATOMIC_SPECIES
Np 237.00 Np.upf
Sn 118.71 Sn.upf
Au 196.97 Au.upf
ATOMIC_POSITIONS angstrom
Np 0.0000 0.0000 0.0000
Sn 0.0000 0.0000 11.0370
Au 0.0000 0.0000 13.9122
CELL_PARAMETERS angstrom
-1.4660 1.4660 8.4193
1.4660 -1.4660 8.4193
1.4660 1.4660 -8.4193

=====

(3)
! Al2SbCl (PBE, optimized geometry); values from VASP
! Calculated density = 3.779 g/cm3
! E above lowest polymorph = 0.264 eV per atom
! Total magnetic moment = 0.000 μB/atom
! Space-group type = P2/m, No. 10
! V = 23.20 A^3/atom
! Electronic total energy = -3.365 eV/atom
! Formation energy without anion corrections = -1.3 meV/atom
&SYSTEM
  ibrav = 0, nat = 4, ntyp = 3
/
ATOMIC_SPECIES
Al 26.98 Al.upf
Sb 121.76 Sb.upf
Cl 35.45 Cl.upf
ATOMIC_POSITIONS angstrom
Al 0.1703 0.0000 1.9522
Al 2.8103 0.0000 4.5200
Sb 0.0000 2.0781 0.0000
Cl 1.4903 2.0781 3.2361
CELL_PARAMETERS angstrom
3.4499 0.0000 0.0000
0.0000 4.1562 0.0000
-0.4693 0.0000 6.4723

=====

(4)
! RbSrGa2Ge2 (PBE, optimized geometry); values from VASP
! Calculated density = 4.474 g/cm3
! Total magnetic moment = 0.000 μB/atom
! Space-group type = P-3m1, No. 164
! V = 28.32 A^3/atom
! Electronic total energy = -3.348 eV/atom
! ΔH_f (0 K) = -0.358 eV/atom
&SYSTEM
  ibrav = 0, nat = 6, ntyp = 4
/
ATOMIC_SPECIES
Rb 85.47 Rb.upf
Sr 87.62 Sr.upf
Ga 69.72 Ga.upf
Ge 72.64 Ge.upf
ATOMIC_POSITIONS angstrom
Rb 0.0000 0.0000 0.0000
Sr 0.0000 0.0000 5.2612
Ga 0.0000 2.4930 7.4843
Ga 2.1590 1.2465 3.0380
Ge 0.0000 2.4930 2.7909
Ge 2.1590 1.2465 7.7314
CELL_PARAMETERS angstrom
4.3180 0.0000 0.0000
-2.1590 3.7395 0.0000
0.0000 0.0000 10.5223

=====

(5)
! Ac4ZnCoI2 (PBE, optimized geometry); values from VASP
! Calculated density = 7.229 g/cm3
! Total magnetic moment = 0.000 μB/atom
! Space-group type = P2/m, No. 10
! V = 36.93 A^3/atom
! Electronic total energy = -4.078 eV/atom
! Formation energy without anion corrections = -588.5 meV/atom
&SYSTEM
  ibrav = 0, nat = 8, ntyp = 4
/
ATOMIC_SPECIES
Ac 227.00 Ac.upf
Zn 65.41 Zn.upf
Co 58.93 Co.upf
I 126.90 I.upf
ATOMIC_POSITIONS angstrom
Ac 1.2498 0.0000 1.5854
Ac -0.1698 2.1691 6.9592
Ac 5.6015 2.1691 1.6573
Ac 4.1818 0.0000 7.0312
Zn 3.9520 0.0000 0.0000
Co 0.0000 2.1691 0.0000
I -1.2362 0.0000 4.3083
I 2.7158 2.1691 4.3083
CELL_PARAMETERS angstrom
7.9040 0.0000 0.0000
0.0000 4.3382 0.0000
-2.4724 0.0000 8.6166

=====

(6)
! HoBiBr (PBE, optimized geometry); values from VASP
! Calculated density = 7.460 g/cm3
! E above lowest polymorph = 0.000 eV per atom
! Total magnetic moment = 0.000 μB/atom
! Space-group type = P-1, No. 2
! V = 33.67 A^3/atom
! Electronic total energy = -4.325 eV/atom
! Formation energy without anion corrections = -948.2 meV/atom
&SYSTEM
  ibrav = 0, nat = 18, ntyp = 3
/
ATOMIC_SPECIES
Ho 164.93 Ho.upf
Bi 208.98 Bi.upf
Br 79.90 Br.upf
ATOMIC_POSITIONS angstrom
Ho 0.0000 0.0000 0.0000
Ho -0.8714 5.7665 7.6070
Ho 1.6756 2.5827 7.0387
Ho 3.0344 4.1168 0.0000
Ho 3.5552 5.1621 4.2730
Ho 6.1022 1.9783 3.7046
Bi 0.2922 4.9137 4.7277
Bi 0.4526 0.4008 8.7380
Bi 1.8371 6.5676 1.7690
Bi 3.3937 1.1772 9.5427
Bi 4.7782 7.3441 2.5737
Bi 4.9386 2.8311 6.5839
Br 0.6055 2.6605 1.0351
Br 1.7757 0.8455 4.8267
Br 1.4883 4.8149 8.8402
Br 3.7425 2.9299 2.4714
Br 3.4551 6.8993 6.4849
Br 4.6253 5.0843 10.2766
CELL_PARAMETERS angstrom
6.5075 0.0000 0.0000
-0.4387 8.2336 0.0000
-0.8380 -0.4888 11.3116

=====

(7)
! AgCSN (PBE, optimized geometry); values from VASP
! Calculated density = 3.378 g/cm3
! E above lowest polymorph = 0.014 eV per atom
! Total magnetic moment = 0.000 μB/atom
! Space-group type = C2/c, No. 15
! V = 20.39 A^3/atom
! Electronic total energy = -5.886 eV/atom
! Formation energy without anion corrections = 245.7 meV/atom
&SYSTEM
  ibrav = 0, nat = 16, ntyp = 4
/
ATOMIC_SPECIES
Ag 107.87 Ag.upf
C 12.01 C.upf
S 32.06 S.upf
N 14.01 N.upf
ATOMIC_POSITIONS angstrom
Ag 2.5398 2.9494 7.4984
Ag 4.5437 2.9494 5.0870
Ag 3.2614 -2.9494 3.3033
Ag 5.2653 -2.9494 0.8918
C 2.7133 0.9433 3.2543
C 1.9917 -0.9433 7.4494
C 5.8135 0.9433 0.9408
C 5.0919 -0.9433 5.1359
S 1.0183 0.1580 6.7079
S 1.7399 -0.1580 2.5128
S 6.0653 0.1580 5.8774
S 6.7869 -0.1580 1.6823
N 3.4321 1.6989 3.8002
N 5.0947 1.6989 0.3949
N 2.7105 -1.6989 7.9953
N 4.3731 -1.6989 4.5900
CELL_PARAMETERS angstrom
4.6242 -4.2049 0.0000
4.6242 4.2049 0.0000
-1.4432 0.0000 8.3902

=====

(8)
! TbPmErTm (PBE, optimized geometry); values from VASP
! Calculated density = 8.378 g/cm3
! E above lowest polymorph = 0.000 eV per atom
! Total magnetic moment = 0.000 μB/atom
! Space-group type = R3m, No. 160
! V = 31.72 A^3/atom
! Electronic total energy = -4.585 eV/atom
! ΔH_f (0 K) = 0.019 eV/atom
&SYSTEM
  ibrav = 0, nat = 4, ntyp = 4
/
ATOMIC_SPECIES
Tb 158.93 Tb.upf
Pm 145.00 Pm.upf
Er 167.26 Er.upf
Tm 168.93 Tm.upf
ATOMIC_POSITIONS angstrom
Tb 0.0000 0.0000 0.0000
Pm 0.0000 0.0000 28.7308
Er 0.0000 0.0000 20.1380
Tm 0.0000 0.0000 14.3230
CELL_PARAMETERS angstrom
1.7857 1.0310 11.4868
-1.7857 1.0310 11.4868
0.0000 -2.0619 11.4868

=====

(9)
! CaTaMo2 (PBE, optimized geometry); values from VASP
! Calculated density = 9.048 g/cm3
! E above lowest polymorph = 0.151 eV per atom
! Total magnetic moment = 0.000 μB/atom
! Space-group type = P4/mmm, No. 123
! V = 18.94 A^3/atom
! Electronic total energy = -8.300 eV/atom
! ΔH_f (0 K) = 0.579 eV/atom
&SYSTEM
  ibrav = 0, nat = 4, ntyp = 3
/
ATOMIC_SPECIES
Ca 40.08 Ca.upf
Ta 180.95 Ta.upf
Mo 95.94 Mo.upf
ATOMIC_POSITIONS angstrom
Ca 0.0000 0.0000 0.0000
Ta 0.0000 0.0000 5.0026
Mo 1.3760 1.3760 2.7047
Mo 1.3760 1.3760 7.3004
CELL_PARAMETERS angstrom
2.7521 0.0000 0.0000
0.0000 2.7521 0.0000
0.0000 0.0000 10.0051

=====

(10)
! Pm3Nd4SmS8 (PBE, optimized geometry); values from VASP
! Calculated density = 6.271 g/cm3
! Total magnetic moment = 0.000 μB/atom
! Space-group type = R-3m, No. 166
! V = 23.48 A^3/atom
! Electronic total energy = -6.466 eV/atom
! Formation energy without anion corrections = -2024.3 meV/atom
&SYSTEM
  ibrav = 0, nat = 16, ntyp = 4
/
ATOMIC_SPECIES
Pm 145.00 Pm.upf
Nd 144.24 Nd.upf
Sm 150.36 Sm.upf
S 32.06 S.upf
ATOMIC_POSITIONS angstrom
Pm -2.0238 -1.1685 6.6202
Pm -2.0238 1.1684 13.2404
Pm 0.0000 2.3369 6.6202
Nd -4.0476 0.0000 9.9303
Nd -2.0238 1.1684 3.3101
Nd 2.0238 1.1685 3.3101
Nd 0.0000 0.0000 9.9303
Sm 0.0000 0.0000 0.0000
S 0.0000 -2.3450 8.2465
S -2.0309 1.1725 8.2465
S -2.0309 -1.1725 11.6141
S 0.0000 0.0000 4.9883
S 0.0000 0.0000 14.8724
S 2.0308 1.1725 8.2465
S 2.0308 -1.1725 11.6141
S 0.0000 2.3450 11.6141
CELL_PARAMETERS angstrom
4.0476 2.3369 6.6202
-4.0476 2.3369 6.6202
0.0000 -4.6738 6.6202

=====

(11)
! MnFeS3 (PBE, optimized geometry); values from VASP
! Calculated density = 4.497 g/cm3
! E above lowest polymorph = 0.000 eV per atom
! Total magnetic moment = 0.788 μB/atom
! Space-group type = P2_1/m, No. 11
! V = 15.29 A^3/atom
! Electronic total energy = -6.468 eV/atom
! Formation energy without anion corrections = -465.3 meV/atom
&SYSTEM
  ibrav = 0, nat = 10, ntyp = 3
/
ATOMIC_SPECIES
Mn 54.94 Mn.upf
Fe 55.84 Fe.upf
S 32.06 S.upf
ATOMIC_POSITIONS angstrom
Mn 0.4863 0.8252 1.3049
Mn 3.6354 2.4755 6.6463
Fe 0.8709 0.8252 4.1139
Fe 3.2508 2.4755 3.8373
S -0.3837 2.4755 2.7951
S -0.3003 2.4755 7.9381
S 1.6260 2.4755 5.3617
S 2.4957 0.8252 2.5895
S 4.4220 0.8252 0.0131
S 4.5053 0.8252 5.1561
CELL_PARAMETERS angstrom
5.8243 0.0000 0.0000
0.0000 3.3007 0.0000
-1.7026 0.0000 7.9512

=====

(12)
! Rb2BaHgBr (PBE, optimized geometry); values from VASP
! Calculated density = 2.236 g/cm3
! Total magnetic moment = 0.218 μB/atom
! Space-group type = P4/mmm, No. 123
! V = 87.46 A^3/atom
! Electronic total energy = -1.205 eV/atom
! Formation energy without anion corrections = -38.6 meV/atom
&SYSTEM
  ibrav = 0, nat = 5, ntyp = 4
/
ATOMIC_SPECIES
Rb 85.47 Rb.upf
Ba 137.33 Ba.upf
Hg 200.59 Hg.upf
Br 79.90 Br.upf
ATOMIC_POSITIONS angstrom
Rb 0.0000 4.1302 0.0000
Rb 4.1302 0.0000 0.0000
Ba 0.0000 0.0000 0.0000
Hg 0.0000 0.0000 3.2045
Br 4.1302 4.1302 3.2045
CELL_PARAMETERS angstrom
8.2605 0.0000 0.0000
0.0000 8.2605 0.0000
0.0000 0.0000 6.4090

=====

(13)
! Rb12Ag (PBE, optimized geometry); values from VASP
! Calculated density = 1.818 g/cm3
! Total magnetic moment = 0.000 μB/atom
! Space-group type = Im-3, No. 204
! V = 79.65 A^3/atom
! Electronic total energy = -1.050 eV/atom
! ΔH_f (0 K) = 0.063 eV/atom
&SYSTEM
  ibrav = 0, nat = 13, ntyp = 2
/
ATOMIC_SPECIES
Rb 85.47 Rb.upf
Ag 107.87 Ag.upf
ATOMIC_POSITIONS angstrom
Rb 6.3733 4.1634 -2.5097
Rb 3.8636 0.0000 2.2099
Rb 8.8830 0.0000 2.2099
Rb 2.2099 3.8636 0.0000
Rb 4.1634 -2.5097 6.3733
Rb 0.0000 2.2099 3.8636
Rb 6.3733 4.1634 2.5097
Rb 2.2099 8.8830 0.0000
Rb 4.1634 2.5097 6.3733
Rb -2.5097 6.3733 4.1634
Rb 2.5097 6.3733 4.1634
Rb 0.0000 2.2099 8.8830
Ag 0.0000 0.0000 0.0000
CELL_PARAMETERS angstrom
-6.3733 6.3733 6.3733
6.3733 -6.3733 6.3733
6.3733 6.3733 -6.3733

=====

(14)
! MgAgRu3 (PBE, optimized geometry); values from VASP
! Calculated density = 7.954 g/cm3
! E above lowest polymorph = 0.000 eV per atom
! Total magnetic moment = 0.517 μB/atom
! Space-group type = Pm-3m, No. 221
! V = 18.18 A^3/atom
! Electronic total energy = -4.668 eV/atom
! ΔH_f (0 K) = 1.786 eV/atom
&SYSTEM
  ibrav = 0, nat = 5, ntyp = 3
/
ATOMIC_SPECIES
Mg 24.30 Mg.upf
Ag 107.87 Ag.upf
Ru 101.07 Ru.upf
ATOMIC_POSITIONS angstrom
Mg 0.0000 0.0000 0.0000
Ag 2.2481 2.2481 2.2481
Ru 0.0000 0.0000 2.2481
Ru 0.0000 2.2481 0.0000
Ru 2.2481 0.0000 0.0000
CELL_PARAMETERS angstrom
4.4962 0.0000 0.0000
0.0000 4.4962 0.0000
0.0000 0.0000 4.4962

=====

(15)
! CuPb2W (PBE, optimized geometry); values from VASP
! Calculated density = 13.011 g/cm3
! E above lowest polymorph = 0.446 eV per atom
! Total magnetic moment = 0.000 μB/atom
! Space-group type = P2/m, No. 10
! V = 21.12 A^3/atom
! Electronic total energy = -5.129 eV/atom
! ΔH_f (0 K) = 0.987 eV/atom
&SYSTEM
  ibrav = 0, nat = 4, ntyp = 3
/
ATOMIC_SPECIES
Cu 63.55 Cu.upf
Pb 207.20 Pb.upf
W 183.84 W.upf
ATOMIC_POSITIONS angstrom
Cu 0.0000 0.0000 0.0000
Pb 0.6670 2.4482 1.4203
Pb 2.3545 2.4482 4.2869
W 1.5107 0.0000 2.8536
CELL_PARAMETERS angstrom
3.0226 0.0000 0.0000
0.0000 4.8963 0.0000
-0.0011 0.0000 5.7072

=====

(16)
! MgRe2Os (PBE, optimized geometry); values from VASP
! Calculated density = 16.321 g/cm3
! Total magnetic moment = 0.000 μB/atom
! Space-group type = F-43m, No. 216
! V = 14.93 A^3/atom
! Electronic total energy = -9.210 eV/atom
! ΔH_f (0 K) = 0.220 eV/atom
&SYSTEM
  ibrav = 0, nat = 4, ntyp = 3
/
ATOMIC_SPECIES
Mg 24.30 Mg.upf
Re 186.21 Re.upf
Os 190.23 Os.upf
ATOMIC_POSITIONS angstrom
Mg 0.0000 0.0000 0.0000
Re 1.5512 1.5512 1.5512
Re 3.1023 3.1023 3.1023
Os 4.6535 4.6535 4.6535
CELL_PARAMETERS angstrom
0.0000 3.1023 3.1023
3.1023 0.0000 3.1023
3.1023 3.1023 0.0000

=====

(17)
! KCr2Se3 (PBE, optimized geometry); values from VASP
! Calculated density = 4.181 g/cm3
! Total magnetic moment = 1.169 μB/atom
! Space-group type = Cmcm, No. 63
! V = 25.15 A^3/atom
! Electronic total energy = -5.742 eV/atom
! Formation energy without anion corrections = -609.2 meV/atom
&SYSTEM
  ibrav = 0, nat = 12, ntyp = 3
/
ATOMIC_SPECIES
K 39.10 K.upf
Cr 52.00 Cr.upf
Se 78.96 Se.upf
ATOMIC_POSITIONS angstrom
K 1.9650 3.7268 7.7407
K 1.9650 -3.7268 2.5802
Cr 0.0000 0.0000 0.0000
Cr 0.0000 0.0000 5.1605
Cr 1.9650 0.4615 2.5802
Cr 1.9650 -0.4615 7.7407
Se 1.9650 6.4444 2.5802
Se 1.9650 1.6970 0.4982
Se 1.9650 1.6970 4.6623
Se 1.9650 -1.6970 5.6587
Se 1.9650 -1.6970 9.8228
Se 1.9650 -6.4444 7.7407
CELL_PARAMETERS angstrom
1.9650 -7.4414 0.0000
1.9650 7.4414 0.0000
0.0000 0.0000 10.3210

=====

(18)
! CoNi2Mo (PBE, optimized geometry); values from VASP
! Calculated density = 9.283 g/cm3
! E above lowest polymorph = 0.152 eV per atom
! Total magnetic moment = 0.436 μB/atom
! Space-group type = Cmmm, No. 65
! V = 12.18 A^3/atom
! Electronic total energy = -7.274 eV/atom
! ΔH_f (0 K) = 0.101 eV/atom
&SYSTEM
  ibrav = 0, nat = 4, ntyp = 3
/
ATOMIC_SPECIES
Co 58.93 Co.upf
Ni 58.69 Ni.upf
Mo 95.94 Mo.upf
ATOMIC_POSITIONS angstrom
Co 0.0000 0.0000 0.0000
Ni 1.2738 1.8614 1.2838
Ni 1.2738 -1.8614 1.2838
Mo 2.5477 0.0000 0.0000
CELL_PARAMETERS angstrom
2.5477 -3.7228 0.0000
2.5477 3.7228 0.0000
0.0000 0.0000 2.5676

=====

(19)
! BaZnAu4 (PBE, optimized geometry); values from VASP
! Calculated density = 11.610 g/cm3
! E above lowest polymorph = 0.000 eV per atom
! Total magnetic moment = 0.000 μB/atom
! Space-group type = C2/m, No. 12
! V = 23.61 A^3/atom
! Electronic total energy = -3.111 eV/atom
! ΔH_f (0 K) = -0.393 eV/atom
&SYSTEM
  ibrav = 0, nat = 12, ntyp = 3
/
ATOMIC_SPECIES
Ba 137.33 Ba.upf
Zn 65.41 Zn.upf
Au 196.97 Au.upf
ATOMIC_POSITIONS angstrom
Ba 2.7496 0.0000 1.0356
Ba 10.6998 0.0000 5.2902
Zn 6.1767 0.0000 4.4094
Zn 7.2727 0.0000 1.9164
Au 5.3856 1.8298 2.4273
Au 6.8654 1.7623 0.0000
Au 3.6291 0.0000 4.1729
Au 8.0638 1.8298 3.8985
Au 5.3856 -1.8298 2.4273
Au 9.8204 0.0000 2.1529
Au 6.8654 -1.7623 0.0000
Au 8.0638 -1.8298 3.8985
CELL_PARAMETERS angstrom
6.8654 -3.2624 0.0000
6.8654 3.2624 0.0000
-0.2814 0.0000 6.3258

=====

(20)
! Si2PtRh (PBE, optimized geometry); values from VASP
! Calculated density = 10.004 g/cm3
! E above lowest polymorph = 0.677 eV per atom
! Total magnetic moment = 0.000 μB/atom
! Space-group type = F-43m, No. 216
! V = 14.70 A^3/atom
! Electronic total energy = -6.069 eV/atom
! Formation energy without anion corrections = -9.4 meV/atom
&SYSTEM
  ibrav = 0, nat = 4, ntyp = 3
/
ATOMIC_SPECIES
Si 28.09 Si.upf
Pt 195.08 Pt.upf
Rh 102.91 Rh.upf
ATOMIC_POSITIONS angstrom
Si 0.0000 0.0000 0.0000
Si 1.5431 1.5431 1.5431
Pt 3.0861 3.0861 3.0861
Rh 4.6292 4.6292 4.6292
CELL_PARAMETERS angstrom
0.0000 3.0861 3.0861
3.0861 0.0000 3.0861
3.0861 3.0861 0.0000